## Ca2BrO (GGA-PBE)

Data for an optimized crystal structure of Ca2BrO.

distance to the lowest polymorph of the same formula = 703 meV per atom
M_tot = 0.4 Bohr magnetons per cell
E_form (uncorrected) = -5.2 eV/f.u.
volume = 77.0 Å³/cell
space group = Fm-3m, No. 225

```
data_Ca2BrO
_space_group_name_H-M_alt 'P 1'
_space_group_IT_number 1
_space_group_name_Hall 'P 1'
_cell_length_a 4.776
_cell_length_b 4.776
_cell_length_c 4.776
_cell_angle_alpha 60.00
_cell_angle_beta 60.00
_cell_angle_gamma 60.00
loop_
_atom_site_label
_atom_site_type_symbol
_atom_site_fract_x
_atom_site_fract_y
_atom_site_fract_z
Ca1 Ca 0.250 0.250 0.250
Ca2 Ca 0.750 0.750 0.750
Br1 Br 0.000 0.000 0.000
O1 O 0.500 0.500 0.500
```